Entry 1:
Density functional theory data (GGA-PBE) for a relaxed structure of CsCaSn4.

Lattice parameters (Å, degrees): 13.0171 13.0171 13.0171 19.96 19.96 19.96
Fractional positions:
Cs1 0.0000 0.0000 0.0000
Ca1 0.5000 0.5000 0.5000
Sn1 0.1133 0.1133 0.1133
Sn2 0.4108 0.4108 0.4108
Sn3 0.5892 0.5892 0.5892
Sn4 0.8867 0.8867 0.8867

Computed properties:
Calculated density: 4.8 g/cm3
Formation energy: -320 meV per atom
Excess energy over the best structure of this formula in the dataset: 0 meV/atom
Crystal system: trigonal

Entry 2:
Density functional theory data (GGA-PBE) for a relaxed structure of CsCaSn2.

Lattice parameters (Å, degrees): 5.8763 5.8763 5.8763 60.00 60.00 60.00
Fractional positions:
Cs1 0.0000 0.0000 0.0000
Ca1 0.5000 0.5000 0.5000
Sn1 0.2500 0.2500 0.2500
Sn2 0.7500 0.7500 0.7500

Computed properties:
Calculated density: 4.7 g/cm3
Formation energy: -50 meV per atom
Crystal system: cubic

Entry 3:
Density functional theory data (GGA-PBE) for a relaxed structure of CsCa3Sn.

Lattice parameters (Å, degrees): 5.7711 5.7711 5.7711 90.00 90.00 90.00
Fractional positions:
Cs1 0.0000 0.0000 0.0000
Ca1 0.0000 0.0000 0.5000
Ca2 0.0000 0.5000 0.0000
Ca3 0.5000 0.0000 0.0000
Sn1 0.5000 0.5000 0.5000

Computed properties:
Calculated density: 3.2 g/cm3
Formation energy: 983 meV per atom
Excess energy over the best structure of this formula in the dataset: 1086 meV/atom
Crystal system: cubic

Entry 4:
Density functional theory data (GGA-PBE) for a relaxed structure of CsCa2Sn2.

Lattice parameters (Å, degrees): 7.2572 7.2572 7.2572 133.45 133.45 67.95
Fractional positions:
Cs1 0.0000 0.0000 0.0000
Ca1 0.2500 0.7500 0.5000
Ca2 0.7500 0.2500 0.5000
Sn1 0.3807 0.3807 0.0000
Sn2 0.6193 0.6193 0.0000

Computed properties:
Calculated density: 3.8 g/cm3
Formation energy: -354 meV per atom
Excess energy over the best structure of this formula in the dataset: 83 meV/atom
Crystal system: tetragonal